The following is a DFT calculation (PBE with a Hubbard U) of a geometry-optimized FeF structure.

a b c (Å): 3.283 3.283 3.283
angles (deg): 60.00 60.00 60.00
Positions (direct):
Fe  0.000  0.000  0.000
F  0.500  0.500  0.500

Results
Raw total energy ... -4.234 eV per atom
Magnetic moment ... 3.4 μB per formula unit
Energy above the most stable polymorph in this dataset ... 0.856 eV/atom